Crystalline AcFeAs2 at its relaxed geometry, computed with GGA-PBE.

relative energy among the computed polymorphs = 0.429 eV per atom
space group = No. 123
size of the total moment = 2.824 μB/f.u.
Fermi-level density of states = 2.84 states/eV/cell
DFT formation energy = -0.15 eV per atom

a b c (Å): 3.480 3.480 7.034
angles (deg): 90.00 90.00 90.00
Atoms (fractional coordinates):
Ac  0.000  0.000  0.000
Fe  0.000  0.000  0.500
As  0.500  0.500  0.311
As  0.500  0.500  0.689